# AcGaCuHg (PBE, optimized geometry)
# - Crystal system: cubic
# - Energy relative to the elements: -197 meV/atom
# - D(E_F): 6.736 states/eV/cell
# - Size of the total moment: 0.000 μB per atom
data_AcGaCuHg
_chemical_formula_sum 'Ac4 Ga4 Cu4 Hg4'
_symmetry_space_group_name_H-M 'F -4 3 m'
_symmetry_Int_Tables_number 216
_symmetry_space_group_name_Hall 'F -4 2 3'
_cell_length_a 7.2226
_cell_length_b 7.2226
_cell_length_c 7.2226
_cell_angle_alpha 90.00
_cell_angle_beta 90.00
_cell_angle_gamma 90.00
loop_
_atom_site_label
_atom_site_type_symbol
_atom_site_fract_x
_atom_site_fract_y
_atom_site_fract_z
Ac1 Ac 0.0000 0.0000 0.0000
Ga1 Ga 0.2500 0.2500 0.7500
Cu1 Cu 0.2500 0.2500 0.2500
Hg1 Hg 0.0000 0.0000 0.5000



# H2IrICl (PBE, optimized geometry)
# - Crystal system: tetragonal
# - Total DFT energy (no corrections): -16.04 eV per cell
# - D(E_F): 2.341 states/eV/cell
# - Size of the total moment: 0.000 μB per atom
data_H2IrICl
_chemical_formula_sum 'H2 Ir1 I1 Cl1'
_symmetry_space_group_name_H-M 'P 4/m m m'
_symmetry_Int_Tables_number 123
_symmetry_space_group_name_Hall '-P 4 2'
_cell_length_a 3.8829
_cell_length_b 3.8829
_cell_length_c 5.2793
_cell_angle_alpha 90.00
_cell_angle_beta 90.00
_cell_angle_gamma 90.00
loop_
_atom_site_label
_atom_site_type_symbol
_atom_site_fract_x
_atom_site_fract_y
_atom_site_fract_z
H1 H 0.0000 0.5000 0.0000
Ir1 Ir 0.0000 0.0000 0.0000
I1 I 0.0000 0.0000 0.5000
Cl1 Cl 0.5000 0.5000 0.5000



# Ca2SmSb3Pt4 (PBE, optimized geometry)
# - Crystal system: tetragonal
# - Formation energy without anion corrections: -80.8 kJ/mol of atoms
# - D(E_F): 6.145 states/eV/cell
# - Size of the total moment: 0.000 μB per atom
data_Ca2SmSb3Pt4
_chemical_formula_sum 'Ca2 Sm1 Sb3 Pt4'
_symmetry_space_group_name_H-M 'P -4 m 2'
_symmetry_Int_Tables_number 115
_cell_length_a 4.5590
_cell_length_b 4.5590
_cell_length_c 11.4663
_cell_angle_alpha 90.00
_cell_angle_beta 90.00
_cell_angle_gamma 90.00
loop_
_symmetry_equiv_pos_as_xyz
'x,y,z'
'y,-x,-z'
'-x,-y,z'
'-y,x,-z'
'-x,y,z'
'-y,-x,-z'
'x,-y,z'
'y,x,-z'
loop_
_atom_site_label
_atom_site_type_symbol
_atom_site_fract_x
_atom_site_fract_y
_atom_site_fract_z
Ca1 Ca 0.0000 0.5000 0.2155
Sm1 Sm 0.0000 0.0000 0.5000
Sb1 Sb 0.0000 0.5000 0.8735
Sb2 Sb 0.5000 0.5000 0.5000
Pt1 Pt 0.0000 0.0000 0.0000
Pt2 Pt 0.0000 0.5000 0.6483
Pt3 Pt 0.5000 0.5000 0.0000



# Ac2La2Pm (PBE, optimized geometry)
# - Crystal system: monoclinic
# - Energy relative to the elements: 43 meV/atom
# - D(E_F): 18.427 states/eV/cell
# - Size of the total moment: 0.000 μB per atom
data_Ac2La2Pm
_chemical_formula_sum 'Ac4 La4 Pm2'
_symmetry_space_group_name_H-M 'P 1 21/m 1'
_symmetry_Int_Tables_number 11
_cell_length_a 6.7143
_cell_length_b 6.1824
_cell_length_c 10.2066
_cell_angle_alpha 90.00
_cell_angle_beta 108.91
_cell_angle_gamma 90.00
loop_
_symmetry_equiv_pos_as_xyz
'x,y,z'
'-x,-y,-z'
'-x,y+1/2,-z'
'x,-y+1/2,z'
loop_
_atom_site_label
_atom_site_type_symbol
_atom_site_fract_x
_atom_site_fract_y
_atom_site_fract_z
Ac1 Ac 0.0391 0.2500 0.3963
Ac2 Ac 0.1774 0.7500 0.0062
La1 La 0.3754 0.7500 0.3995
La2 La 0.4448 0.2500 0.2102
Pm1 Pm 0.2403 0.2500 0.8030



# TiReN3 (PBE, optimized geometry)
# - Crystal system: monoclinic
# - Formation energy without anion corrections: -48.7 kJ/mol of atoms
# - D(E_F): 0.368 states/eV/cell
# - Size of the total moment: 0.000 μB per atom
data_TiReN3
_chemical_formula_sum 'Ti4 Re4 N12'
_symmetry_space_group_name_H-M 'C 1 m 1'
_symmetry_Int_Tables_number 8
_cell_length_a 12.5232
_cell_length_b 2.8896
_cell_length_c 5.6171
_cell_angle_alpha 90.00
_cell_angle_beta 91.08
_cell_angle_gamma 90.00
loop_
_symmetry_equiv_pos_as_xyz
'x,y,z'
'x,-y,z'
'x+1/2,y+1/2,z'
'x+1/2,-y+1/2,z'
loop_
_atom_site_label
_atom_site_type_symbol
_atom_site_fract_x
_atom_site_fract_y
_atom_site_fract_z
Ti1 Ti 0.0000 0.0000 0.0000
Ti2 Ti 0.0489 0.0000 0.5041
Re1 Re 0.2403 0.5000 0.6677
Re2 Re 0.3443 0.0000 0.2602
N1 N 0.0171 0.5000 0.2435
N2 N 0.1426 0.0000 0.8165
N3 N 0.2008 0.0000 0.4049
N4 N 0.3234 0.5000 0.0104
N5 N 0.3665 0.0000 0.6207
N6 N 0.4663 0.0000 0.7219



# CaCo2Ag (PBE, optimized geometry)
# - Crystal system: orthorhombic
# - Energy relative to the elements: 532 meV/atom
# - D(E_F): 9.154 states/eV/cell
# - Size of the total moment: 0.668 μB per atom
data_CaCo2Ag
_chemical_formula_sum 'Ca2 Co4 Ag2'
_symmetry_space_group_name_H-M 'C m m m'
_symmetry_Int_Tables_number 65
_symmetry_space_group_name_Hall '-C 2 2'
_cell_length_a 5.5583
_cell_length_b 8.1722
_cell_length_c 2.8945
_cell_angle_alpha 90.00
_cell_angle_beta 90.00
_cell_angle_gamma 90.00
loop_
_atom_site_label
_atom_site_type_symbol
_atom_site_fract_x
_atom_site_fract_y
_atom_site_fract_z
Ca1 Ca 0.0000 0.0000 0.0000
Co1 Co 0.2500 0.2500 0.5000
Ag1 Ag 0.0000 0.5000 0.0000



# RbNa3Pd (PBE, optimized geometry)
# - Crystal system: cubic
# - Energy relative to the elements: 881 meV/atom
# - D(E_F): 2.055 states/eV/cell
# - Size of the total moment: 0.000 μB per atom
data_RbNa3Pd
_chemical_formula_sum 'Rb1 Na3 Pd1'
_symmetry_space_group_name_H-M 'P m -3 m'
_symmetry_Int_Tables_number 221
_symmetry_space_group_name_Hall '-P 4 2 3'
_cell_length_a 6.0830
_cell_length_b 6.0830
_cell_length_c 6.0830
_cell_angle_alpha 90.00
_cell_angle_beta 90.00
_cell_angle_gamma 90.00
loop_
_atom_site_label
_atom_site_type_symbol
_atom_site_fract_x
_atom_site_fract_y
_atom_site_fract_z
Rb1 Rb 0.0000 0.0000 0.0000
Na1 Na 0.0000 0.0000 0.5000
Pd1 Pd 0.5000 0.5000 0.5000



# TaIr2Br (PBE, optimized geometry)
# - Crystal system: tetragonal
# - Formation energy without anion corrections: 10.6 kJ/mol of atoms
# - D(E_F): 0.799 states/eV/cell
# - Size of the total moment: 0.000 μB per atom
data_TaIr2Br
_chemical_formula_sum 'Ta1 Ir2 Br1'
_symmetry_space_group_name_H-M 'P 4/m m m'
_symmetry_Int_Tables_number 123
_symmetry_space_group_name_Hall '-P 4 2'
_cell_length_a 3.2360
_cell_length_b 3.2360
_cell_length_c 7.0857
_cell_angle_alpha 90.00
_cell_angle_beta 90.00
_cell_angle_gamma 90.00
loop_
_atom_site_label
_atom_site_type_symbol
_atom_site_fract_x
_atom_site_fract_y
_atom_site_fract_z
Ta1 Ta 0.0000 0.0000 0.0000
Ir1 Ir 0.5000 0.5000 0.1981
Br1 Br 0.0000 0.0000 0.5000



# SmLuZnPt (PBE, optimized geometry)
# - Crystal system: cubic
# - Energy relative to the elements: -767 meV/atom
# - D(E_F): 12.176 states/eV/cell
# - Size of the total moment: 0.000 μB per atom
data_SmLuZnPt
_chemical_formula_sum 'Sm4 Lu4 Zn4 Pt4'
_symmetry_space_group_name_H-M 'F -4 3 m'
_symmetry_Int_Tables_number 216
_symmetry_space_group_name_Hall 'F -4 2 3'
_cell_length_a 7.0538
_cell_length_b 7.0538
_cell_length_c 7.0538
_cell_angle_alpha 90.00
_cell_angle_beta 90.00
_cell_angle_gamma 90.00
loop_
_atom_site_label
_atom_site_type_symbol
_atom_site_fract_x
_atom_site_fract_y
_atom_site_fract_z
Sm1 Sm 0.0000 0.0000 0.0000
Lu1 Lu 0.0000 0.0000 0.5000
Zn1 Zn 0.2500 0.2500 0.2500
Pt1 Pt 0.2500 0.2500 0.7500



# CrAgW2 (PBE, optimized geometry)
# - Crystal system: tetragonal
# - Energy relative to the elements: 572 meV/atom
# - D(E_F): 3.177 states/eV/cell
# - Size of the total moment: 0.000 μB per atom
data_CrAgW2
_chemical_formula_sum 'Cr1 Ag1 W2'
_symmetry_space_group_name_H-M 'P 4 m m'
_symmetry_Int_Tables_number 99
_cell_length_a 2.6479
_cell_length_b 2.6479
_cell_length_c 8.9222
_cell_angle_alpha 90.00
_cell_angle_beta 90.00
_cell_angle_gamma 90.00
loop_
_symmetry_equiv_pos_as_xyz
'x,y,z'
'-y,x,z'
'-x,-y,z'
'y,-x,z'
'-x,y,z'
'y,x,z'
'x,-y,z'
'-y,-x,z'
loop_
_atom_site_label
_atom_site_type_symbol
_atom_site_fract_x
_atom_site_fract_y
_atom_site_fract_z
Cr1 Cr 0.0000 0.0000 0.0000
Ag1 Ag 0.5000 0.5000 0.7584
W1 W 0.0000 0.0000 0.4962
W2 W 0.5000 0.5000 0.2375



# TbNd2In3 (PBE, optimized geometry)
# - Crystal system: orthorhombic
# - Energy relative to the elements: -491 meV/atom
# - D(E_F): 10.996 states/eV/cell
# - Size of the total moment: 0.000 μB per atom
data_TbNd2In3
_chemical_formula_sum 'Tb4 Nd8 In12'
_symmetry_space_group_name_H-M 'C m m m'
_symmetry_Int_Tables_number 65
_symmetry_space_group_name_Hall '-C 2 2'
_cell_length_a 5.4360
_cell_length_b 16.3186
_cell_length_c 7.6691
_cell_angle_alpha 90.00
_cell_angle_beta 90.00
_cell_angle_gamma 90.00
loop_
_atom_site_label
_atom_site_type_symbol
_atom_site_fract_x
_atom_site_fract_y
_atom_site_fract_z
Tb1 Tb 0.0000 0.1669 0.0000
Nd1 Nd 0.0000 0.1646 0.5000
Nd2 Nd 0.0000 0.5000 0.0000
Nd3 Nd 0.0000 0.5000 0.5000
In1 In 0.0000 0.0000 0.2426
In2 In 0.0000 0.3310 0.2428



# AlGaPb2 (PBE, optimized geometry)
# - Crystal system: tetragonal
# - Energy relative to the elements: 349 meV/atom
# - D(E_F): 6.657 states/eV/cell
# - Size of the total moment: 0.000 μB per atom
data_AlGaPb2
_chemical_formula_sum 'Al4 Ga4 Pb8'
_symmetry_space_group_name_H-M 'I -4 2 d'
_symmetry_Int_Tables_number 122
_symmetry_space_group_name_Hall 'I -4 2bw'
_cell_length_a 5.5380
_cell_length_b 5.5380
_cell_length_c 16.4424
_cell_angle_alpha 90.00
_cell_angle_beta 90.00
_cell_angle_gamma 90.00
loop_
_atom_site_label
_atom_site_type_symbol
_atom_site_fract_x
_atom_site_fract_y
_atom_site_fract_z
Al1 Al 0.0000 0.0000 0.0000
Ga1 Ga 0.0000 0.0000 0.5000
Pb1 Pb 0.2429 0.2500 0.1250



# Rb2ZnHg2 (PBE, optimized geometry)
# - Crystal system: tetragonal
# - Energy relative to the elements: -35 meV/atom
# - D(E_F): 5.154 states/eV/cell
# - Size of the total moment: 0.000 μB per atom
data_Rb2ZnHg2
_chemical_formula_sum 'Rb4 Zn2 Hg4'
_symmetry_space_group_name_H-M 'I 4/m m m'
_symmetry_Int_Tables_number 139
_symmetry_space_group_name_Hall '-I 4 2'
_cell_length_a 7.1223
_cell_length_b 7.1223
_cell_length_c 8.5701
_cell_angle_alpha 90.00
_cell_angle_beta 90.00
_cell_angle_gamma 90.00
loop_
_atom_site_label
_atom_site_type_symbol
_atom_site_fract_x
_atom_site_fract_y
_atom_site_fract_z
Rb1 Rb 0.0000 0.5000 0.2500
Zn1 Zn 0.0000 0.0000 0.0000
Hg1 Hg 0.0000 0.0000 0.3278



# PmThTlSn (PBE, optimized geometry)
# - Crystal system: cubic
# - Energy relative to the elements: -344 meV/atom
# - D(E_F): 20.401 states/eV/cell
# - Size of the total moment: 0.000 μB per atom
data_PmThTlSn
_chemical_formula_sum 'Pm4 Th4 Tl4 Sn4'
_symmetry_space_group_name_H-M 'F -4 3 m'
_symmetry_Int_Tables_number 216
_symmetry_space_group_name_Hall 'F -4 2 3'
_cell_length_a 7.7626
_cell_length_b 7.7626
_cell_length_c 7.7626
_cell_angle_alpha 90.00
_cell_angle_beta 90.00
_cell_angle_gamma 90.00
loop_
_atom_site_label
_atom_site_type_symbol
_atom_site_fract_x
_atom_site_fract_y
_atom_site_fract_z
Pm1 Pm 0.0000 0.0000 0.0000
Th1 Th 0.0000 0.0000 0.5000
Tl1 Tl 0.2500 0.2500 0.7500
Sn1 Sn 0.2500 0.2500 0.2500



# Pm6ThTl5 (PBE, optimized geometry)
# - Crystal system: orthorhombic
# - Energy relative to the elements: -274 meV/atom
# - D(E_F): 27.968 states/eV/cell
# - Size of the total moment: 0.000 μB per atom
data_Pm6ThTl5
_chemical_formula_sum 'Pm12 Th2 Tl10'
_symmetry_space_group_name_H-M 'I m m m'
_symmetry_Int_Tables_number 71
_symmetry_space_group_name_Hall '-I 2 2'
_cell_length_a 5.1338
_cell_length_b 8.9499
_cell_length_c 15.5714
_cell_angle_alpha 90.00
_cell_angle_beta 90.00
_cell_angle_gamma 90.00
loop_
_atom_site_label
_atom_site_type_symbol
_atom_site_fract_x
_atom_site_fract_y
_atom_site_fract_z
Pm1 Pm 0.0000 0.2311 0.0000
Pm2 Pm 0.0000 0.2599 0.3300
Th1 Th 0.0000 0.0000 0.5000
Tl1 Tl 0.0000 0.0000 0.1757
Tl2 Tl 0.0000 0.5000 0.1522
Tl3 Tl 0.0000 0.5000 0.5000



# NaIn2NiHg (PBE, optimized geometry)
# - Crystal system: tetragonal
# - Energy relative to the elements: 0 meV/atom
# - D(E_F): 2.382 states/eV/cell
# - Size of the total moment: 0.000 μB per atom
data_NaIn2NiHg
_chemical_formula_sum 'Na1 In2 Ni1 Hg1'
_symmetry_space_group_name_H-M 'P 4/m m m'
_symmetry_Int_Tables_number 123
_symmetry_space_group_name_Hall '-P 4 2'
_cell_length_a 4.9321
_cell_length_b 4.9321
_cell_length_c 5.4672
_cell_angle_alpha 90.00
_cell_angle_beta 90.00
_cell_angle_gamma 90.00
loop_
_atom_site_label
_atom_site_type_symbol
_atom_site_fract_x
_atom_site_fract_y
_atom_site_fract_z
Na1 Na 0.0000 0.0000 0.0000
In1 In 0.0000 0.5000 0.5000
Ni1 Ni 0.0000 0.0000 0.5000
Hg1 Hg 0.5000 0.5000 0.0000



# La2EuHo (PBE, optimized geometry)
# - Crystal system: tetragonal
# - Energy relative to the elements: 77 meV/atom
# - D(E_F): 7.093 states/eV/cell
# - Size of the total moment: 1.848 μB per atom
data_La2EuHo
_chemical_formula_sum 'La2 Eu1 Ho1'
_symmetry_space_group_name_H-M 'P 4/m m m'
_symmetry_Int_Tables_number 123
_symmetry_space_group_name_Hall '-P 4 2'
_cell_length_a 5.2924
_cell_length_b 5.2924
_cell_length_c 5.1440
_cell_angle_alpha 90.00
_cell_angle_beta 90.00
_cell_angle_gamma 90.00
loop_
_atom_site_label
_atom_site_type_symbol
_atom_site_fract_x
_atom_site_fract_y
_atom_site_fract_z
La1 La 0.0000 0.5000 0.0000
Eu1 Eu 0.0000 0.0000 0.5000
Ho1 Ho 0.5000 0.5000 0.5000



# Ca3TbSm2Te6 (PBE, optimized geometry)
# - Crystal system: monoclinic
# - Formation energy without anion corrections: -143.5 kJ/mol of atoms
# - D(E_F): 10.236 states/eV/cell
# - Size of the total moment: 0.000 μB per atom
data_Ca3TbSm2Te6
_chemical_formula_sum 'Ca6 Tb2 Sm4 Te12'
_symmetry_space_group_name_H-M 'C 1 2/m 1'
_symmetry_Int_Tables_number 12
_cell_length_a 7.6641
_cell_length_b 13.2581
_cell_length_c 7.8289
_cell_angle_alpha 90.00
_cell_angle_beta 109.06
_cell_angle_gamma 90.00
loop_
_symmetry_equiv_pos_as_xyz
'x,y,z'
'-x,-y,-z'
'-x,y,-z'
'x,-y,z'
'x+1/2,y+1/2,z'
'-x+1/2,-y+1/2,-z'
'-x+1/2,y+1/2,-z'
'x+1/2,-y+1/2,z'
loop_
_atom_site_label
_atom_site_type_symbol
_atom_site_fract_x
_atom_site_fract_y
_atom_site_fract_z
Ca1 Ca 0.0000 0.0000 0.0000
Ca2 Ca 0.0000 0.3317 0.0000
Tb1 Tb 0.0000 0.5000 0.5000
Sm1 Sm 0.0000 0.1659 0.5000
Te1 Te 0.2456 0.5000 0.2493
Te2 Te 0.2477 0.3352 0.7494



# K2CaBr2Cl2 (PBE, optimized geometry)
# - Crystal system: tetragonal
# - Formation energy without anion corrections: -193.5 kJ/mol of atoms
# - D(E_F): 0.000 states/eV/cell
# - Size of the total moment: 0.000 μB per atom
data_K2CaBr2Cl2
_chemical_formula_sum 'K4 Ca2 Br4 Cl4'
_symmetry_space_group_name_H-M 'I 4/m m m'
_symmetry_Int_Tables_number 139
_symmetry_space_group_name_Hall '-I 4 2'
_cell_length_a 5.3537
_cell_length_b 5.3537
_cell_length_c 17.0142
_cell_angle_alpha 90.00
_cell_angle_beta 90.00
_cell_angle_gamma 90.00
loop_
_atom_site_label
_atom_site_type_symbol
_atom_site_fract_x
_atom_site_fract_y
_atom_site_fract_z
K1 K 0.0000 0.0000 0.1395
Ca1 Ca 0.0000 0.0000 0.5000
Br1 Br 0.0000 0.0000 0.3305
Cl1 Cl 0.0000 0.5000 0.0000



# YGa4CoIr2 (PBE, optimized geometry)
# - Crystal system: trigonal
# - Energy relative to the elements: -518 meV/atom
# - D(E_F): 9.130 states/eV/cell
# - Size of the total moment: 0.000 μB per atom
data_YGa4CoIr2
_chemical_formula_sum 'Y3 Ga12 Co3 Ir6'
_symmetry_space_group_name_H-M 'R -3 m'
_symmetry_Int_Tables_number 166
_symmetry_space_group_name_Hall '-R 3 2"'
_cell_length_a 4.2109
_cell_length_b 4.2109
_cell_length_c 25.3930
_cell_angle_alpha 90.00
_cell_angle_beta 90.00
_cell_angle_gamma 120.00
loop_
_atom_site_label
_atom_site_type_symbol
_atom_site_fract_x
_atom_site_fract_y
_atom_site_fract_z
Y1 Y 0.0000 0.0000 0.0000
Ga1 Ga 0.0000 0.0000 0.1336
Ga2 Ga 0.0000 0.0000 0.4006
Co1 Co 0.0000 0.0000 0.5000
Ir1 Ir 0.0000 0.0000 0.2360